No. 1
# Zn2InBi (GGA-PBE, relaxed)
data_Zn2InBi
_space_group_name_H-M_alt 'F m -3 m'
_space_group_IT_number 225
_space_group_name_Hall '-F 4 2 3'
_cell_length_a 7.223
_cell_length_b 7.223
_cell_length_c 7.223
_cell_angle_alpha 90.00
_cell_angle_beta 90.00
_cell_angle_gamma 90.00
loop_
_atom_site_label
_atom_site_fract_x
_atom_site_fract_y
_atom_site_fract_z
Zn1 0.250 0.250 0.250
In1 0.000 0.000 0.000
Bi1 0.000 0.000 0.500
# N(E_F) = 6.2 states/eV per cell
# calculated formation energy = 0.15 eV per atom
# uncorrected energy = -2.1465 eV/atom
# magnetization = 0.0 μB per formula unit

No. 2
# Tb2Tm3Ga4 (GGA-PBE, relaxed)
data_Tb2Tm3Ga4
_space_group_name_H-M_alt 'P 1 21/c 1'
_space_group_IT_number 14
_space_group_name_Hall '-P 2ybc'
_cell_length_a 7.849
_cell_length_b 7.887
_cell_length_c 7.397
_cell_angle_alpha 90.00
_cell_angle_beta 106.78
_cell_angle_gamma 90.00
loop_
_atom_site_label
_atom_site_fract_x
_atom_site_fract_y
_atom_site_fract_z
Tb1 0.191 0.183 0.073
Tm1 0.240 0.675 0.251
Tm2 0.500 0.000 0.500
Ga1 0.081 0.529 0.864
Ga2 0.490 0.123 0.877
# N(E_F) = 14.7 states/eV per cell
# calculated formation energy = -0.59 eV per atom
# uncorrected energy = -4.4519 eV/atom
# magnetization = 0.0 μB per formula unit

No. 3
# CoCuW2 (GGA-PBE, relaxed)
data_CoCuW2
_space_group_name_H-M_alt 'I -4 2 d'
_space_group_IT_number 122
_space_group_name_Hall 'I -4 2bw'
_cell_length_a 6.825
_cell_length_b 6.825
_cell_length_c 5.102
_cell_angle_alpha 90.00
_cell_angle_beta 90.00
_cell_angle_gamma 90.00
loop_
_atom_site_label
_atom_site_fract_x
_atom_site_fract_y
_atom_site_fract_z
Co1 0.000 0.000 0.000
Cu1 0.000 0.000 0.500
W1 0.217 0.750 0.125
# N(E_F) = 10.2 states/eV per cell
# calculated formation energy = 0.75 eV per atom
# uncorrected energy = -8.5293 eV/atom
# magnetization = 0.0 μB per formula unit

No. 4
# CeAl2Pt5 (GGA-PBE, relaxed)
data_CeAl2Pt5
_space_group_name_H-M_alt 'I m m m'
_space_group_IT_number 71
_space_group_name_Hall '-I 2 2'
_cell_length_a 3.926
_cell_length_b 7.128
_cell_length_c 10.046
_cell_angle_alpha 90.00
_cell_angle_beta 90.00
_cell_angle_gamma 90.00
loop_
_atom_site_label
_atom_site_fract_x
_atom_site_fract_y
_atom_site_fract_z
Ce1 0.000 0.000 0.000
Al1 0.000 0.500 0.243
Pt1 0.000 0.201 0.357
Pt2 0.000 0.500 0.000
# N(E_F) = 14.7 states/eV per cell
# calculated formation energy = -0.92 eV per atom
# uncorrected energy = -6.3758 eV/atom
# magnetization = 0.7 μB per formula unit

No. 5
# NaAs2 (GGA-PBE, relaxed)
data_NaAs2
_space_group_name_H-M_alt 'I 4/m m m'
_space_group_IT_number 139
_space_group_name_Hall '-I 4 2'
_cell_length_a 3.542
_cell_length_b 3.542
_cell_length_c 10.770
_cell_angle_alpha 90.00
_cell_angle_beta 90.00
_cell_angle_gamma 90.00
loop_
_atom_site_label
_atom_site_fract_x
_atom_site_fract_y
_atom_site_fract_z
Na1 0.000 0.000 0.000
As1 0.000 0.000 0.295
# N(E_F) = 1.3 states/eV per cell
# calculated formation energy = -0.18 eV per atom
# uncorrected energy = -3.7148 eV/atom
# magnetization = 0.0 μB per formula unit

No. 6
# AlP2H12N3O8 (GGA-PBE, relaxed)
data_AlP2H12N3O8
_space_group_name_H-M_alt 'P 1 21/c 1'
_space_group_IT_number 14
_space_group_name_Hall '-P 2ybc'
_cell_length_a 9.358
_cell_length_b 10.086
_cell_length_c 14.056
_cell_angle_alpha 90.00
_cell_angle_beta 127.61
_cell_angle_gamma 90.00
loop_
_atom_site_label
_atom_site_fract_x
_atom_site_fract_y
_atom_site_fract_z
Al1 0.024 0.082 0.153
P1 0.110 0.639 0.843
P2 0.281 0.047 0.089
H1 0.010 0.575 0.107
H2 0.035 0.236 0.434
H3 0.117 0.650 0.059
H4 0.168 0.693 0.197
H5 0.338 0.021 0.557
H6 0.346 0.174 0.943
H7 0.359 0.182 0.596
H8 0.364 0.238 0.350
H9 0.451 0.739 0.503
H10 0.456 0.604 0.868
H11 0.460 0.058 0.706
H12 0.465 0.112 0.893
N1 0.068 0.664 0.109
N2 0.426 0.091 0.623
N3 0.431 0.196 0.921
O1 0.010 0.534 0.740
O2 0.028 0.243 0.203
O3 0.144 0.576 0.955
O4 0.159 0.568 0.500
O5 0.232 0.064 0.177
O6 0.238 0.176 0.018
O7 0.282 0.689 0.864
O8 0.479 0.005 0.162
# N(E_F) = 0.0 states/eV per cell
# uncorrected energy = -5.9302 eV/atom
# magnetization = 0.0 μB per formula unit

No. 7
# LuInHg2 (GGA-PBE, relaxed)
data_LuInHg2
_space_group_name_H-M_alt 'P 4/m m m'
_space_group_IT_number 123
_space_group_name_Hall '-P 4 2'
_cell_length_a 3.680
_cell_length_b 3.680
_cell_length_c 7.233
_cell_angle_alpha 90.00
_cell_angle_beta 90.00
_cell_angle_gamma 90.00
loop_
_atom_site_label
_atom_site_fract_x
_atom_site_fract_y
_atom_site_fract_z
Lu1 0.000 0.000 0.000
In1 0.000 0.000 0.500
Hg1 0.500 0.500 0.243
# N(E_F) = 2.4 states/eV per cell
# calculated formation energy = -0.24 eV per atom
# uncorrected energy = -2.2010 eV/atom
# magnetization = 0.0 μB per formula unit